No. 1
Density functional theory data (PBE) for an optimized crystal structure of RbLiAsPd2.

As for the calculated formation energy: -23.5 kJ/mol of atoms. The calculation puts the total energy at -19.14 eV/cell.

The structure belongs to space group P4/mmm (No. 123); the cell edges are 4.874, 4.874 and 5.003 Å and the angles 90.00°, 90.00° and 90.00°. The asymmetric unit holds Rb at (0.000, 0.000, 0.000), Li at (0.500, 0.500, 0.000), As at (0.500, 0.500, 0.500) and Pd at (0.000, 0.500, 0.500).


No. 2
Density functional theory data (PBE) for an optimized crystal structure of Li3As4Pd2Rh2.

As for the calculated formation energy: -45.4 kJ/mol of atoms. The calculation puts the total energy at -54.60 eV/cell.

The structure belongs to space group P-3m1 (No. 164); the cell edges are 4.2898, 4.2898 and 11.1890 Å and the angles 90.00°, 90.00° and 120.00°. The asymmetric unit holds Li at (0.0000, 0.0000, 0.0000), Li at (0.0000, 0.0000, 0.2658), As at (0.3333, 0.6667, 0.3690), As at (0.3333, 0.6667, 0.8870), Pd at (0.3333, 0.6667, 0.1302) and Rh at (0.3333, 0.6667, 0.5843).


No. 3
Density functional theory data (PBE) for an optimized crystal structure of Li2As2PdRh.

As for the calculated formation energy: -54.5 kJ/mol of atoms. The calculation puts the total energy at -116.23 eV/cell.

The structure belongs to space group Ibam (No. 72); the cell edges are 5.702, 12.283 and 5.700 Å and the angles 90.00°, 90.00° and 90.00°. The asymmetric unit holds Li at (0.240, 0.160, 0.000), As at (0.236, 0.375, 0.000), Pd at (0.000, 0.000, 0.250) and Rh at (0.000, 0.500, 0.250).


No. 4
Density functional theory data (PBE) for an optimized crystal structure of Li3As4Pd2Ru2.

As for the calculated formation energy: -37.4 kJ/mol of atoms. The calculation puts the total energy at -57.54 eV/cell.

The structure belongs to space group P-3m1 (No. 164); the cell edges are 4.1785, 4.1785 and 11.7050 Å and the angles 90.00°, 90.00° and 120.00°. The asymmetric unit holds Li at (0.0000, 0.0000, 0.0000), Li at (0.0000, 0.0000, 0.2655), As at (0.3333, 0.6667, 0.3798), As at (0.3333, 0.6667, 0.8527), Pd at (0.3333, 0.6667, 0.0775) and Ru at (0.3333, 0.6667, 0.5860).


No. 5
Density functional theory data (PBE) for an optimized crystal structure of LiSb2AsPd5.

The uncorrected formation energy is -469 meV/atom. The calculation puts the total energy at -179.97 eV/cell.

The structure belongs to space group Cmc2_1 (No. 36); the cell edges are 3.971, 14.655 and 11.056 Å and the angles 90.00°, 90.00° and 90.00°. The asymmetric unit holds Li at (0.000, 0.242, 0.000), Sb at (0.000, 0.115, 0.356), Sb at (0.000, 0.127, 0.676), As at (0.000, 0.395, 0.485), Pd at (0.000, 0.064, 0.110), Pd at (0.000, 0.292, 0.310), Pd at (0.000, 0.312, 0.689), Pd at (0.000, 0.433, 0.022) and Pd at (0.000, 0.489, 0.281).


No. 6
Density functional theory data (PBE) for an optimized crystal structure of LiSbAsPd.

The uncorrected formation energy is -305 meV/atom. The calculation puts the total energy at -68.39 eV/cell.

The structure belongs to space group F-43m (No. 216); the cell edges are 6.652, 6.652 and 6.652 Å and the angles 90.00°, 90.00° and 90.00°. The asymmetric unit holds Li at (0.000, 0.000, 0.000), Sb at (0.250, 0.250, 0.750), As at (0.250, 0.250, 0.250) and Pd at (0.000, 0.000, 0.500).


No. 7
Density functional theory data (PBE) for an optimized crystal structure of LiAs2PdSe.

The uncorrected formation energy is 203 meV/atom. For the distance to the lowest polymorph of the same formula, the calculation gives 0.000 eV/atom. The calculation puts the total energy at -18.88 eV/cell.

The structure belongs to space group P4/mmm (No. 123); the cell edges are 4.803, 4.803 and 5.383 Å and the angles 90.00°, 90.00° and 90.00°. The asymmetric unit holds Li at (0.000, 0.000, 0.000), As at (0.000, 0.500, 0.500), Pd at (0.500, 0.500, 0.500) and Se at (0.500, 0.500, 0.000).


No. 8
Density functional theory data (PBE) for an optimized crystal structure of LiAsPdSe2.

The uncorrected formation energy is 92 meV/atom. For the distance to the lowest polymorph of the same formula, the calculation gives 0.000 eV/atom. The calculation puts the total energy at -18.27 eV/cell.

The structure belongs to space group P4/mmm (No. 123); the cell edges are 5.195, 5.195 and 4.654 Å and the angles 90.00°, 90.00° and 90.00°. The asymmetric unit holds Li at (0.000, 0.000, 0.000), As at (0.500, 0.500, 0.000), Pd at (0.500, 0.500, 0.500) and Se at (0.000, 0.500, 0.500).


No. 9
Density functional theory data (PBE) for an optimized crystal structure of LiSiAsPd2.

The uncorrected formation energy is 369 meV/atom. The calculation puts the total energy at -20.53 eV/cell.

The structure belongs to space group P4/mmm (No. 123); the cell edges are 4.326, 4.326 and 4.236 Å and the angles 90.00°, 90.00° and 90.00°. The asymmetric unit holds Li at (0.000, 0.000, 0.000), Si at (0.000, 0.000, 0.500), As at (0.500, 0.500, 0.500) and Pd at (0.000, 0.500, 0.000).


No. 10
Density functional theory data (PBE) for an optimized crystal structure of LiSmAs2Pd5.

As for the calculated formation energy: -61.1 kJ/mol of atoms. The calculation puts the total energy at -47.60 eV/cell.

The structure belongs to space group P4/mmm (No. 123); the cell edges are 4.197, 4.197 and 9.320 Å and the angles 90.00°, 90.00° and 90.00°. The asymmetric unit holds Li at (0.000, 0.000, 0.000), Sm at (0.000, 0.000, 0.500), As at (0.500, 0.500, 0.132), Pd at (0.000, 0.500, 0.272) and Pd at (0.500, 0.500, 0.500).


No. 11
Density functional theory data (PBE) for an optimized crystal structure of LiSmAsPd.

As for the calculated formation energy: -75.2 kJ/mol of atoms. The calculation puts the total energy at -78.38 eV/cell.

The structure belongs to space group F-43m (No. 216); the cell edges are 6.831, 6.831 and 6.831 Å and the angles 90.00°, 90.00° and 90.00°. The asymmetric unit holds Li at (0.000, 0.000, 0.000), Sm at (0.000, 0.000, 0.500), As at (0.250, 0.250, 0.250) and Pd at (0.250, 0.250, 0.750).


No. 12
Density functional theory data (PBE) for an optimized crystal structure of LiSm2As4Pd3.

As for the calculated formation energy: -84.3 kJ/mol of atoms. The calculation puts the total energy at -54.27 eV/cell.

The structure belongs to space group P-4m2 (No. 115); the cell edges are 4.146, 4.146 and 11.173 Å and the angles 90.00°, 90.00° and 90.00°. The asymmetric unit holds Li at (0.000, 0.000, 0.000), Sm at (0.000, 0.500, 0.763), As at (0.000, 0.000, 0.500), As at (0.000, 0.500, 0.137), As at (0.500, 0.500, 0.500), Pd at (0.000, 0.500, 0.359) and Pd at (0.500, 0.500, 0.000).